Record 1
An optimized crystal structure of BPSeN2, computed with PBE.

The calculation puts the size of the total moment at 0.4 μB/f.u. The total DFT energy (no corrections) is -5.320 eV/atom. For the formation energy (no corrections), the calculation gives 5.6 eV per formula unit. For the calculated volume, the calculation gives 74.9 Å³/f.u. The calculation puts the polymorph energy (0 for the lowest one) at 0 meV per atom.

It has space group P4/mmm (No. 123), with a = 3.249 Å, b = 3.249 Å, c = 7.095 Å, α = 90.00°, β = 90.00° and γ = 90.00°. The distinct sites, in fractional coordinates, are B at (0.000, 0.000, 0.000), P at (0.500, 0.500, 0.500), Se at (0.500, 0.500, 0.000) and N at (0.000, 0.500, 0.500).

Record 2
An optimized crystal structure of SiBP2N, computed with PBE.

The calculation puts the size of the total moment at 0.0 μB/f.u. The total DFT energy (no corrections) is -4.309 eV/atom. For the formation energy (no corrections), the calculation gives 9.7 eV per formula unit. For the calculated volume, the calculation gives 75.8 Å³/f.u.

It has space group P4/mmm (No. 123), with a = 4.487 Å, b = 4.487 Å, c = 3.764 Å, α = 90.00°, β = 90.00° and γ = 90.00°. The distinct sites, in fractional coordinates, are Si at (0.000, 0.000, 0.000), B at (0.000, 0.000, 0.500), P at (0.000, 0.500, 0.000) and N at (0.500, 0.500, 0.500).

Record 3
An optimized crystal structure of SmBP2N6, computed with PBE.

The calculation puts the size of the total moment at 0.0 μB/f.u. The total DFT energy (no corrections) is -7.690 eV/atom. For the formation energy (no corrections), the calculation gives -4.7 eV per formula unit. For the calculated volume, the calculation gives 116.2 Å³/f.u.

It has space group C2/c (No. 15), with a = 9.988 Å, b = 9.375 Å, c = 5.568 Å, α = 90.00°, β = 116.92° and γ = 90.00°. The distinct sites, in fractional coordinates, are Sm at (0.000, 0.145, 0.250), B at (0.000, 0.221, 0.750), P at (0.207, 0.420, 0.148), N at (0.085, 0.297, 0.013), N at (0.116, 0.117, 0.724) and N at (0.195, 0.452, 0.432).